A plane-wave DFT calculation with GGA-PBE was carried out for a relaxed structure of NpMnCuRu.

Cell and atoms, written as POSCAR:
```
NpMnCuRu
1.0
-0.328 -4.388 0.436
3.484 -2.576 -0.881
2.116 -2.059 3.291
Np Ru Mn Cu
1 1 1 1
Direct
0.500 0.500 0.500
0.750 0.750 0.750
0.250 0.250 0.250
0.000 0.000 0.000
```

Calculated values
E_form (eV per atom): 0.277
Magnetic moment (μB per atom): 1.22
DOS(E_F) (states/eV/cell): 6.92